No. 1
Entry from the Alexandria database: an optimized crystal structure of Ag8Te3Cl2 (PBE-GGA).

Values from the calculation:
Its formation energy (no corrections) is -0.16 eV per atom. The value obtained for the mass density is 6.7 g/cm³.

abc: 7.954 7.954 14.611
angles: 107.74 107.74 48.80
Sites, in units of the cell vectors:
Ag1 0.052 0.621 0.588
Ag2 0.062 0.084 0.186
Ag3 0.084 0.062 0.686
Ag4 0.134 0.290 0.080
Ag5 0.159 0.418 0.761
Ag6 0.290 0.134 0.580
Ag7 0.379 0.948 0.912
Ag8 0.418 0.159 0.261
Ag9 0.582 0.841 0.739
Ag10 0.621 0.052 0.088
Ag11 0.710 0.866 0.420
Ag12 0.841 0.582 0.239
Ag13 0.866 0.710 0.920
Ag14 0.916 0.938 0.314
Ag15 0.938 0.916 0.814
Ag16 0.948 0.379 0.412
Te1 0.176 0.552 0.399
Te2 0.343 0.657 0.750
Te3 0.448 0.824 0.101
Te4 0.552 0.176 0.899
Te5 0.657 0.343 0.250
Te6 0.824 0.448 0.601
Cl1 0.080 0.656 0.099
Cl2 0.344 0.920 0.401
Cl3 0.656 0.080 0.599
Cl4 0.920 0.344 0.901

=====

No. 2
Entry from the Alexandria database: an optimized crystal structure of Dy2SiS (PBE-GGA).

Values from the calculation:
Its formation energy (no corrections) is -1.37 eV per atom. For the energy above the lowest structure with this stoichiometry, the calculation gives 0.98 kcal/mol of atoms. The value obtained for the mass density is 6.9 g/cm³.

abc: 4.010 4.010 19.946
angles: 90.00 90.00 120.00
Sites, in units of the cell vectors:
Dy1 0.000 0.000 0.250
Dy2 0.000 0.000 0.750
Dy3 0.333 0.667 0.416
Dy4 0.333 0.667 0.917
Dy5 0.667 0.333 0.083
Dy6 0.667 0.333 0.584
Si1 0.000 0.000 0.000
Si2 0.333 0.667 0.667
Si3 0.667 0.333 0.333
S1 0.000 0.000 0.500
S2 0.333 0.667 0.167
S3 0.667 0.333 0.833

=====

No. 3
Entry from the Alexandria database: an optimized crystal structure of PmHo8Tm5 (PBE-GGA).

Values from the calculation:
For the formation energy, the calculation gives 0.253 eV/atom. The value obtained for the mass density is 8.5 g/cm³.

abc: 8.365 8.365 8.365
angles: 111.46 111.46 105.57
Sites, in units of the cell vectors:
Pm1 0.000 0.000 0.000
Ho1 0.092 0.331 0.418
Ho2 0.280 0.174 0.753
Ho3 0.326 0.908 0.239
Ho4 0.421 0.527 0.247
Ho5 0.473 0.720 0.894
Ho6 0.669 0.087 0.761
Ho7 0.826 0.579 0.106
Ho8 0.913 0.674 0.582
Tm1 0.032 0.437 0.822
Tm2 0.250 0.750 0.500
Tm3 0.563 0.385 0.595
Tm4 0.615 0.210 0.178
Tm5 0.790 0.968 0.405

=====

No. 4
Entry from the Alexandria database: an optimized crystal structure of Y5Tm6Th (PBE-GGA).

Values from the calculation:
For the formation energy, the calculation gives 0.031 eV/atom. The value obtained for the mass density is 7.5 g/cm³.

abc: 6.122 6.122 11.704
angles: 95.01 95.01 119.97
Sites, in units of the cell vectors:
Y1 0.000 0.000 0.000
Y2 0.167 0.833 0.500
Y3 0.333 0.667 0.000
Y4 0.667 0.333 0.000
Y5 0.833 0.167 0.500
Tm1 0.087 0.416 0.251
Tm2 0.255 0.255 0.749
Tm3 0.416 0.087 0.251
Tm4 0.584 0.913 0.749
Tm5 0.745 0.745 0.251
Tm6 0.913 0.584 0.749
Th1 0.500 0.500 0.500

=====

No. 5
Entry from the Alexandria database: an optimized crystal structure of SrPdO3 (PBE-GGA).

Values from the calculation:
Its formation energy (no corrections) is -0.95 eV per atom. The value obtained for the mass density is 6.3 g/cm³.

abc: 4.026 4.026 9.097
angles: 90.00 90.00 120.00
Sites, in units of the cell vectors:
Sr1 0.333 0.667 0.250
Sr2 0.667 0.333 0.750
Pd1 0.000 0.000 0.000
Pd2 0.000 0.000 0.500
O1 0.000 0.000 0.250
O2 0.000 0.000 0.750
O3 0.333 0.667 0.529
O4 0.333 0.667 0.971
O5 0.667 0.333 0.029
O6 0.667 0.333 0.471

=====

No. 6
Entry from the Alexandria database: an optimized crystal structure of ZnTcH (PBE-GGA).

Values from the calculation:
For the energy above the lowest structure with this stoichiometry, the calculation gives 2.75 kcal/mol of atoms. The value obtained for the mass density is 7.6 g/cm³.

abc: 2.745 2.747 11.057
angles: 96.48 90.45 119.97
Sites, in units of the cell vectors:
Zn1 0.000 0.000 0.000
Zn2 0.402 0.794 0.209
Tc1 0.599 0.210 0.801
Tc2 0.804 0.583 0.408
H1 0.169 0.308 0.501
H2 0.900 0.817 0.706

=====

No. 7
Entry from the Alexandria database: an optimized crystal structure of K2Tc (PBE-GGA).

Values from the calculation:
For the energy above the lowest structure with this stoichiometry, the calculation gives 2.65 kcal/mol of atoms. For the formation energy, the calculation gives 0.762 eV/atom. The value obtained for the mass density is 2.2 g/cm³.

abc: 10.296 3.749 13.722
angles: 90.00 90.00 90.00
Sites, in units of the cell vectors:
K1 0.087 0.250 0.237
K2 0.193 0.250 0.528
K3 0.307 0.750 0.028
K4 0.413 0.750 0.737
K5 0.587 0.250 0.263
K6 0.693 0.250 0.972
K7 0.807 0.750 0.472
K8 0.913 0.750 0.763
Tc1 0.037 0.250 0.961
Tc2 0.463 0.750 0.461
Tc3 0.537 0.250 0.539
Tc4 0.963 0.750 0.039

=====

No. 8
Entry from the Alexandria database: an optimized crystal structure of TlSb2TeI (PBE-GGA).

Values from the calculation:
Its formation energy (no corrections) is 0.74 eV per atom. For the energy above the lowest structure with this stoichiometry, the calculation gives 6.88 kcal/mol of atoms. The value obtained for the mass density is 6.0 g/cm³.

abc: 5.840 5.840 5.688
angles: 90.00 90.00 90.00
Sites, in units of the cell vectors:
Tl1 0.000 0.000 0.000
Sb1 0.000 0.500 0.000
Sb2 0.500 0.000 0.000
Te1 0.000 0.000 0.500
I1 0.500 0.500 0.500

=====

No. 9
Entry from the Alexandria database: an optimized crystal structure of PrSbIO4 (PBE-GGA).

Values from the calculation:
Its formation energy (no corrections) is -1.76 eV per atom. The value obtained for the mass density is 5.0 g/cm³.

abc: 7.204 7.204 7.303
angles: 102.15 102.15 55.69
Sites, in units of the cell vectors:
Pr1 0.206 0.206 0.331
Pr2 0.794 0.794 0.669
Sb1 0.129 0.129 0.753
Sb2 0.871 0.871 0.247
I1 0.478 0.478 0.812
I2 0.522 0.522 0.188
O1 0.022 0.022 0.291
O2 0.027 0.607 0.380
O3 0.195 0.195 0.013
O4 0.393 0.973 0.620
O5 0.607 0.027 0.380
O6 0.805 0.805 0.987
O7 0.973 0.393 0.620
O8 0.978 0.978 0.709

=====

No. 10
Entry from the Alexandria database: an optimized crystal structure of KHfCu3 (PBE-GGA).

Values from the calculation:
For the energy above the lowest structure with this stoichiometry, the calculation gives 18.55 kcal/mol of atoms. For the formation energy, the calculation gives 1.649 eV/atom. The value obtained for the mass density is 6.4 g/cm³.

abc: 4.733 4.733 4.733
angles: 90.00 90.00 90.00
Sites, in units of the cell vectors:
K1 0.000 0.000 0.000
Hf1 0.500 0.500 0.500
Cu1 0.000 0.000 0.500
Cu2 0.000 0.500 0.000
Cu3 0.500 0.000 0.000

=====

No. 11
Entry from the Alexandria database: an optimized crystal structure of Li2CuTc (PBE-GGA).

Values from the calculation:
For the energy above the lowest structure with this stoichiometry, the calculation gives 2.02 kcal/mol of atoms. For the formation energy, the calculation gives 0.205 eV/atom. The value obtained for the mass density is 5.3 g/cm³.

abc: 2.642 2.642 27.377
angles: 90.00 90.00 120.00
Sites, in units of the cell vectors:
Li1 0.000 0.000 0.248
Li2 0.000 0.000 0.752
Li3 0.333 0.667 0.418
Li4 0.333 0.667 0.915
Li5 0.667 0.333 0.085
Li6 0.667 0.333 0.582
Cu1 0.000 0.000 0.500
Cu2 0.333 0.667 0.167
Cu3 0.667 0.333 0.833
Tc1 0.000 0.000 0.000
Tc2 0.333 0.667 0.667
Tc3 0.667 0.333 0.333

=====

No. 12
Entry from the Alexandria database: an optimized crystal structure of In2NiSb (PBE-GGA).

Values from the calculation:
Its formation energy (no corrections) is 0.27 eV per atom. The value obtained for the mass density is 7.8 g/cm³.

abc: 4.548 4.548 8.470
angles: 90.00 90.00 90.00
Sites, in units of the cell vectors:
In1 0.000 0.000 0.000
In2 0.000 0.500 0.250
In3 0.500 0.000 0.750
In4 0.500 0.500 0.500
Ni1 0.000 0.500 0.750
Ni2 0.500 0.000 0.250
Sb1 0.000 0.000 0.500
Sb2 0.500 0.500 0.000

=====

No. 13
Entry from the Alexandria database: an optimized crystal structure of TiAsPd5 (PBE-GGA).

Values from the calculation:
For the formation energy, the calculation gives -0.050 eV/atom. The value obtained for the mass density is 8.7 g/cm³.

abc: 5.174 6.972 6.969
angles: 90.00 90.00 90.00
Sites, in units of the cell vectors:
Ti1 0.000 0.000 0.000
Ti2 0.500 0.500 0.500
As1 0.000 0.500 0.851
As2 0.500 0.000 0.351
Pd1 0.000 0.000 0.341
Pd2 0.000 0.311 0.552
Pd3 0.000 0.689 0.552
Pd4 0.243 0.500 0.215
Pd5 0.257 0.000 0.715
Pd6 0.500 0.189 0.052
Pd7 0.500 0.500 0.841
Pd8 0.500 0.811 0.052
Pd9 0.743 0.000 0.715
Pd10 0.757 0.500 0.215

=====

No. 14
Entry from the Alexandria database: an optimized crystal structure of LiErPbSe3 (PBE-GGA).

Values from the calculation:
Its formation energy (no corrections) is -1.24 eV per atom. The value obtained for the mass density is 6.6 g/cm³.

abc: 8.577 4.125 8.981
angles: 90.00 103.14 90.00
Sites, in units of the cell vectors:
Li1 0.084 0.250 0.086
Li2 0.916 0.750 0.914
Er1 0.331 0.750 0.335
Er2 0.669 0.250 0.665
Pb1 0.188 0.250 0.737
Pb2 0.812 0.750 0.263
Se1 0.111 0.250 0.371
Se2 0.221 0.750 0.014
Se3 0.437 0.750 0.664
Se4 0.563 0.250 0.336
Se5 0.779 0.250 0.986
Se6 0.889 0.750 0.629

=====

No. 15
Entry from the Alexandria database: an optimized crystal structure of Er3Te12Au5 (PBE-GGA).

Values from the calculation:
Its formation energy (no corrections) is -0.42 eV per atom. The value obtained for the mass density is 8.0 g/cm³.

abc: 14.839 14.839 14.839
angles: 109.47 109.47 109.47
Sites, in units of the cell vectors:
Er1 0.125 0.250 0.375
Er2 0.125 0.375 0.750
Er3 0.250 0.375 0.125
Er4 0.250 0.875 0.625
Er5 0.375 0.125 0.250
Er6 0.375 0.750 0.125
Er7 0.625 0.250 0.875
Er8 0.625 0.875 0.750
Er9 0.750 0.125 0.375
Er10 0.750 0.625 0.875
Er11 0.875 0.625 0.250
Er12 0.875 0.750 0.625
Te1 0.045 0.215 0.134
Te2 0.045 0.330 0.911
Te3 0.081 0.715 0.670
Te4 0.081 0.866 0.411
Te5 0.089 0.634 0.419
Te6 0.089 0.955 0.670
Te7 0.134 0.045 0.215
Te8 0.134 0.589 0.919
Te9 0.170 0.215 0.581
Te10 0.170 0.455 0.589
Te11 0.215 0.134 0.045
Te12 0.215 0.581 0.170
Te13 0.285 0.330 0.919
Te14 0.285 0.455 0.366
Te15 0.330 0.911 0.045
Te16 0.330 0.919 0.285
Te17 0.366 0.285 0.455
Te18 0.366 0.581 0.911
Te19 0.411 0.081 0.866
Te20 0.411 0.830 0.545
Te21 0.419 0.089 0.634
Te22 0.419 0.830 0.785
Te23 0.455 0.366 0.285
Te24 0.455 0.589 0.170
Te25 0.545 0.411 0.830
Te26 0.545 0.634 0.715
Te27 0.581 0.170 0.215
Te28 0.581 0.911 0.366
Te29 0.589 0.170 0.455
Te30 0.589 0.919 0.134
Te31 0.634 0.419 0.089
Te32 0.634 0.715 0.545
Te33 0.670 0.081 0.715
Te34 0.670 0.089 0.955
Te35 0.715 0.545 0.634
Te36 0.715 0.670 0.081
Te37 0.785 0.419 0.830
Te38 0.785 0.866 0.955
Te39 0.830 0.545 0.411
Te40 0.830 0.785 0.419
Te41 0.866 0.411 0.081
Te42 0.866 0.955 0.785
Te43 0.911 0.045 0.330
Te44 0.911 0.366 0.581
Te45 0.919 0.134 0.589
Te46 0.919 0.285 0.330
Te47 0.955 0.670 0.089
Te48 0.955 0.785 0.866
Au1 0.000 0.000 0.000
Au2 0.000 0.000 0.500
Au3 0.000 0.500 0.000
Au4 0.000 0.500 0.500
Au5 0.125 0.750 0.875
Au6 0.125 0.875 0.250
Au7 0.250 0.125 0.875
Au8 0.250 0.625 0.375
Au9 0.375 0.250 0.625
Au10 0.375 0.625 0.750
Au11 0.500 0.000 0.000
Au12 0.500 0.000 0.500
Au13 0.500 0.500 0.000
Au14 0.500 0.500 0.500
Au15 0.625 0.375 0.250
Au16 0.625 0.750 0.375
Au17 0.750 0.375 0.625
Au18 0.750 0.875 0.125
Au19 0.875 0.125 0.750
Au20 0.875 0.250 0.125

=====

No. 16
Entry from the Alexandria database: an optimized crystal structure of Y3ErTl (PBE-GGA).

Values from the calculation:
For the energy above the lowest structure with this stoichiometry, the calculation gives 0.62 kcal/mol of atoms. For the formation energy, the calculation gives -0.123 eV/atom. The value obtained for the mass density is 7.2 g/cm³.

abc: 12.863 12.863 4.821
angles: 90.00 90.00 158.35
Sites, in units of the cell vectors:
Y1 0.050 0.950 0.750
Y2 0.251 0.749 0.750
Y3 0.447 0.553 0.750
Y4 0.553 0.447 0.250
Y5 0.749 0.251 0.250
Y6 0.950 0.050 0.250
Er1 0.150 0.850 0.250
Er2 0.850 0.150 0.750
Tl1 0.348 0.652 0.250
Tl2 0.652 0.348 0.750

=====

No. 17
Entry from the Alexandria database: an optimized crystal structure of LaNd2Si (PBE-GGA).

Values from the calculation:
Its formation energy (no corrections) is -0.17 eV per atom. For the energy above the lowest structure with this stoichiometry, the calculation gives 4.54 kcal/mol of atoms. The value obtained for the mass density is 5.6 g/cm³.

abc: 4.098 4.098 28.048
angles: 90.00 90.00 120.00
Sites, in units of the cell vectors:
La1 0.000 0.000 0.000
La2 0.333 0.667 0.667
La3 0.667 0.333 0.333
Nd1 0.000 0.000 0.229
Nd2 0.000 0.000 0.442
Nd3 0.333 0.667 0.109
Nd4 0.333 0.667 0.896
Nd5 0.667 0.333 0.563
Nd6 0.667 0.333 0.776
Si1 0.000 0.000 0.836
Si2 0.333 0.667 0.503
Si3 0.667 0.333 0.170

=====

No. 18
Entry from the Alexandria database: an optimized crystal structure of V2Ir2Rh (PBE-GGA).

Values from the calculation:
For the energy above the lowest structure with this stoichiometry, the calculation gives 2.55 kcal/mol of atoms. For the formation energy, the calculation gives -0.218 eV/atom. The value obtained for the mass density is 13.4 g/cm³.

abc: 7.273 7.273 2.769
angles: 90.00 90.00 90.00
Sites, in units of the cell vectors:
V1 0.152 0.348 0.000
V2 0.348 0.848 0.000
V3 0.652 0.152 0.000
V4 0.848 0.652 0.000
Ir1 0.144 0.644 0.500
Ir2 0.356 0.144 0.500
Ir3 0.644 0.856 0.500
Ir4 0.856 0.356 0.500
Rh1 0.000 0.000 0.000
Rh2 0.500 0.500 0.000

=====

No. 19
Entry from the Alexandria database: an optimized crystal structure of BeCuAg2 (PBE-GGA).

Values from the calculation:
For the formation energy, the calculation gives 0.215 eV/atom. The value obtained for the mass density is 8.4 g/cm³.

abc: 3.741 3.741 8.170
angles: 90.00 90.00 90.00
Sites, in units of the cell vectors:
Be1 0.000 0.000 0.000
Be2 0.500 0.500 0.500
Cu1 0.000 0.500 0.750
Cu2 0.500 0.000 0.250
Ag1 0.000 0.000 0.500
Ag2 0.000 0.500 0.250
Ag3 0.500 0.000 0.750
Ag4 0.500 0.500 0.000

=====

No. 20
Entry from the Alexandria database: an optimized crystal structure of CuSbMo2 (PBE-GGA).

Values from the calculation:
Its formation energy (no corrections) is 0.60 eV per atom. The value obtained for the mass density is 9.3 g/cm³.

abc: 3.014 3.014 25.696
angles: 90.00 90.00 120.00
Sites, in units of the cell vectors:
Cu1 0.000 0.000 0.000
Cu2 0.333 0.667 0.667
Cu3 0.667 0.333 0.333
Sb1 0.000 0.000 0.500
Sb2 0.333 0.667 0.167
Sb3 0.667 0.333 0.833
Mo1 0.000 0.000 0.254
Mo2 0.000 0.000 0.746
Mo3 0.333 0.667 0.413
Mo4 0.333 0.667 0.920
Mo5 0.667 0.333 0.080
Mo6 0.667 0.333 0.587